No. 1
Density functional theory data (PBE) for crystalline CeDyHo2Tl4 at its relaxed geometry.

## Properties
E_form: -2.40 eV/f.u.

```
CeDyHo2Tl4
1.0
2.694 1.555 8.862
-2.694 1.555 8.862
0.000 -3.111 8.862
Ce Dy Ho Tl
1 1 2 4
Direct
0.000 0.000 0.000
0.500 0.500 0.500
0.249 0.249 0.249
0.751 0.751 0.751
0.126 0.126 0.126
0.377 0.377 0.377
0.623 0.623 0.623
0.874 0.874 0.874
```

=====

No. 2
Density functional theory data (PBE) for crystalline NiPb at its relaxed geometry.

## Properties
E_form: 0.62 eV/f.u.

```
NiPb
1.0
3.639 0.000 0.000
-1.819 3.151 0.000
0.000 0.000 3.466
Ni Pb
1 1
Direct
0.000 0.000 0.000
0.667 0.333 0.500
```

=====

No. 3
Density functional theory data (PBE) for crystalline Pr4NiPt3 at its relaxed geometry.

## Properties
E_form: -7.31 eV/f.u.

```
Pr4NiPt3
1.0
3.965 0.000 0.000
0.000 4.532 0.000
0.000 0.000 10.904
Pr Ni Pt
4 1 3
Direct
0.000 0.000 0.000
0.000 0.500 0.271
0.500 0.000 0.494
0.500 0.500 0.773
0.500 0.000 0.212
0.000 0.000 0.723
0.000 0.500 0.547
0.500 0.500 0.058
```

=====

No. 4
Density functional theory data (PBE) for crystalline HfAgAsO5 at its relaxed geometry.

## Properties
E_form (uncorrected): -15.002 eV/f.u.

```
HfAgAsO5
1.0
3.683 -4.515 0.000
3.683 4.515 0.000
-3.440 0.000 6.950
Hf Ag As O
2 2 2 10
Direct
0.000 0.000 0.000
0.000 0.000 0.500
0.318 0.682 0.750
0.682 0.318 0.250
0.327 0.673 0.250
0.673 0.327 0.750
0.066 0.934 0.750
0.143 0.705 0.389
0.256 0.366 0.105
0.295 0.857 0.111
0.366 0.256 0.605
0.634 0.744 0.395
0.705 0.143 0.889
0.744 0.634 0.895
0.857 0.295 0.611
0.934 0.066 0.250
```

=====

No. 5
Density functional theory data (PBE) for crystalline Nd4Ho3Tm at its relaxed geometry.

## Properties
E_form: 1.47 eV/f.u.

```
Nd4Ho3Tm
1.0
2.838 -12.966 0.000
2.838 12.966 0.000
0.000 0.000 3.659
Nd Ho Tm
4 3 1
Direct
0.101 0.899 0.000
0.222 0.778 0.000
0.778 0.222 0.000
0.899 0.101 0.000
0.351 0.649 0.500
0.500 0.500 0.000
0.649 0.351 0.500
0.000 0.000 0.500
```

=====

No. 6
Density functional theory data (PBE) for crystalline MoBr3 at its relaxed geometry.

## Properties
E_form (uncorrected): -1.514 eV/f.u.

```
MoBr3
1.0
5.201 0.000 0.000
0.000 12.785 0.000
0.000 0.000 3.837
Mo Br
2 6
Direct
0.250 0.250 0.222
0.750 0.750 0.778
0.250 0.110 0.735
0.250 0.390 0.735
0.250 0.750 0.680
0.750 0.250 0.320
0.750 0.610 0.265
0.750 0.890 0.265
```

=====

No. 7
Density functional theory data (PBE) for crystalline TiCdAu3 at its relaxed geometry.

## Properties
E_form: 2.53 eV/f.u.

```
TiCdAu3
1.0
5.027 0.000 0.000
0.000 5.027 0.000
0.000 0.000 5.027
Ti Cd Au
1 1 3
Direct
0.000 0.000 0.000
0.500 0.500 0.500
0.000 0.000 0.500
0.000 0.500 0.000
0.500 0.000 0.000
```

=====

No. 8
Density functional theory data (PBE) for crystalline ScNi at its relaxed geometry.

## Properties
E_form: -0.21 eV/f.u.

```
ScNi
1.0
8.095 0.000 0.000
0.000 8.095 0.000
0.000 0.000 4.523
Sc Ni
8 8
Direct
0.122 0.326 0.000
0.122 0.674 0.500
0.326 0.122 0.500
0.326 0.878 0.000
0.674 0.122 0.000
0.674 0.878 0.500
0.878 0.326 0.500
0.878 0.674 0.000
0.283 0.417 0.500
0.283 0.583 0.000
0.417 0.283 0.000
0.417 0.717 0.500
0.583 0.283 0.500
0.583 0.717 0.000
0.717 0.417 0.000
0.717 0.583 0.500
```

=====

No. 9
Density functional theory data (PBE) for crystalline AcBRh at its relaxed geometry.

## Properties
E_form: -1.05 eV/f.u.

```
AcBRh
1.0
3.808 0.000 0.000
-1.904 3.298 0.000
0.000 0.000 4.661
Ac B Rh
1 1 1
Direct
0.000 0.000 0.000
0.333 0.667 0.500
0.667 0.333 0.500
```

=====

No. 10
Density functional theory data (PBE) for crystalline Sc4GeBr5 at its relaxed geometry.

## Properties
E_form (uncorrected): -13.166 eV/f.u.

```
Sc4GeBr5
1.0
9.693 -1.914 0.000
9.693 1.914 0.000
-0.048 0.000 7.940
Sc Ge Br
4 1 5
Direct
0.000 0.000 0.223
0.000 0.000 0.777
0.371 0.371 0.998
0.629 0.629 0.002
0.500 0.500 0.000
0.151 0.151 0.243
0.151 0.151 0.762
0.500 0.500 0.500
0.849 0.849 0.238
0.849 0.849 0.757
```

=====

No. 11
Density functional theory data (PBE) for crystalline Na2BeCu3As4 at its relaxed geometry.

## Properties
E_form: -1.93 eV/f.u.

```
Na2BeCu3As4
1.0
4.020 0.000 0.000
0.000 4.020 0.000
0.000 0.000 10.678
Na Be Cu As
2 1 3 4
Direct
0.000 0.500 0.237
0.500 0.000 0.763
0.500 0.500 0.000
0.000 0.000 0.000
0.000 0.500 0.645
0.500 0.000 0.355
0.000 0.000 0.500
0.000 0.500 0.870
0.500 0.000 0.130
0.500 0.500 0.500
```

=====

No. 12
Density functional theory data (PBE) for crystalline Pr8BiTe6 at its relaxed geometry.

## Properties
E_form (uncorrected): -16.006 eV/f.u.

```
Pr8BiTe6
1.0
11.408 0.000 0.000
-5.704 9.880 0.000
0.000 0.000 4.546
Pr Bi Te
8 1 6
Direct
0.034 0.724 0.243
0.276 0.310 0.243
0.310 0.034 0.757
0.333 0.667 0.753
0.667 0.333 0.247
0.690 0.966 0.243
0.724 0.690 0.757
0.966 0.276 0.757
0.000 0.000 0.000
0.126 0.480 0.252
0.355 0.874 0.252
0.480 0.355 0.748
0.520 0.645 0.252
0.645 0.126 0.748
0.874 0.520 0.748
```

=====

Please write out number 12 again, unchanged.
Density functional theory data (PBE) for crystalline Pr8BiTe6 at its relaxed geometry.

## Properties
E_form (uncorrected): -16.006 eV/f.u.

```
Pr8BiTe6
1.0
11.408 0.000 0.000
-5.704 9.880 0.000
0.000 0.000 4.546
Pr Bi Te
8 1 6
Direct
0.034 0.724 0.243
0.276 0.310 0.243
0.310 0.034 0.757
0.333 0.667 0.753
0.667 0.333 0.247
0.690 0.966 0.243
0.724 0.690 0.757
0.966 0.276 0.757
0.000 0.000 0.000
0.126 0.480 0.252
0.355 0.874 0.252
0.480 0.355 0.748
0.520 0.645 0.252
0.645 0.126 0.748
0.874 0.520 0.748
```

=====

Copy entry 4 word for word.
Density functional theory data (PBE) for crystalline HfAgAsO5 at its relaxed geometry.

## Properties
E_form (uncorrected): -15.002 eV/f.u.

```
HfAgAsO5
1.0
3.683 -4.515 0.000
3.683 4.515 0.000
-3.440 0.000 6.950
Hf Ag As O
2 2 2 10
Direct
0.000 0.000 0.000
0.000 0.000 0.500
0.318 0.682 0.750
0.682 0.318 0.250
0.327 0.673 0.250
0.673 0.327 0.750
0.066 0.934 0.750
0.143 0.705 0.389
0.256 0.366 0.105
0.295 0.857 0.111
0.366 0.256 0.605
0.634 0.744 0.395
0.705 0.143 0.889
0.744 0.634 0.895
0.857 0.295 0.611
0.934 0.066 0.250
```

=====

Copy entry 1 word for word.
Density functional theory data (PBE) for crystalline CeDyHo2Tl4 at its relaxed geometry.

## Properties
E_form: -2.40 eV/f.u.

```
CeDyHo2Tl4
1.0
2.694 1.555 8.862
-2.694 1.555 8.862
0.000 -3.111 8.862
Ce Dy Ho Tl
1 1 2 4
Direct
0.000 0.000 0.000
0.500 0.500 0.500
0.249 0.249 0.249
0.751 0.751 0.751
0.126 0.126 0.126
0.377 0.377 0.377
0.623 0.623 0.623
0.874 0.874 0.874
```